Compound: YTiI3
Source: Alexandria
Functional: PBE
Structure: relaxed

Results
energy relative to the elements, uncorrected	-0.682	eV per formula unit
excess energy over the best structure of this formula in the dataset	0	meV per atom
V	34.7	A^3/atom

a b c (Å): 5.5798 5.5798 5.5798
angles (deg): 90.00 90.00 90.00
Atoms (fractional coordinates):
Y 0.0000 0.0000 0.0000
Ti 0.5000 0.5000 0.5000
I 0.0000 0.5000 0.5000
I 0.5000 0.0000 0.5000
I 0.5000 0.5000 0.0000


Compound: YTi3I
Source: Alexandria
Functional: PBE
Structure: relaxed

Results
energy relative to the elements, uncorrected	3.407	eV per formula unit
excess energy over the best structure of this formula in the dataset	0	meV per atom
V	25.3	A^3/atom

a b c (Å): 5.0203 5.0203 5.0203
angles (deg): 90.00 90.00 90.00
Atoms (fractional coordinates):
Y 0.0000 0.0000 0.0000
Ti 0.0000 0.5000 0.5000
Ti 0.5000 0.0000 0.5000
Ti 0.5000 0.5000 0.0000
I 0.5000 0.5000 0.5000


Compound: Y2TiI
Source: Alexandria
Functional: PBE
Structure: relaxed

Results
energy relative to the elements, uncorrected	1.250	eV per formula unit
excess energy over the best structure of this formula in the dataset	114	meV per atom
V	29.1	A^3/atom

a b c (Å): 6.8106 6.8106 6.8106
angles (deg): 103.21 103.21 122.89
Atoms (fractional coordinates):
Y 0.1129 0.6250 0.9879
Y 0.3750 0.3629 0.4879
Y 0.6371 0.1250 0.0121
Y 0.8750 0.8871 0.5121
Ti 0.2500 0.7500 0.5000
Ti 0.5000 0.5000 0.0000
I 0.0000 0.0000 0.0000
I 0.7500 0.2500 0.5000


Compound: Y3TiI
Source: Alexandria
Functional: PBE
Structure: relaxed

Results
energy relative to the elements, uncorrected	2.873	eV per formula unit
excess energy over the best structure of this formula in the dataset	178	meV per atom
V	34.5	A^3/atom

a b c (Å): 5.5653 5.5653 5.5653
angles (deg): 90.00 90.00 90.00
Atoms (fractional coordinates):
Y 0.0000 0.0000 0.5000
Y 0.0000 0.5000 0.0000
Y 0.5000 0.0000 0.0000
Ti 0.5000 0.5000 0.5000
I 0.0000 0.0000 0.0000


Compound: Y3TiI
Source: Alexandria
Functional: PBE
Structure: relaxed

Results
energy relative to the elements, uncorrected	1.985	eV per formula unit
excess energy over the best structure of this formula in the dataset	0	meV per atom
V	33.7	A^3/atom

a b c (Å): 5.5218 5.5218 5.5218
angles (deg): 90.00 90.00 90.00
Atoms (fractional coordinates):
Y 0.0000 0.0000 0.5000
Y 0.0000 0.5000 0.0000
Y 0.5000 0.0000 0.0000
Ti 0.0000 0.0000 0.0000
I 0.5000 0.5000 0.5000


Compound: YTi3I
Source: Alexandria
Functional: PBE
Structure: relaxed

Results
energy relative to the elements, uncorrected	7.538	eV per formula unit
excess energy over the best structure of this formula in the dataset	826	meV per atom
V	26.8	A^3/atom

a b c (Å): 5.1145 5.1145 5.1145
angles (deg): 90.00 90.00 90.00
Atoms (fractional coordinates):
Y 0.0000 0.0000 0.0000
Ti 0.0000 0.0000 0.5000
Ti 0.0000 0.5000 0.0000
Ti 0.5000 0.0000 0.0000
I 0.5000 0.5000 0.5000


Compound: TiZnI2
Source: Alexandria
Functional: PBE
Structure: relaxed

Results
energy relative to the elements, uncorrected	-0.197	eV per formula unit
excess energy over the best structure of this formula in the dataset	0	meV per atom
V	39.9	A^3/atom

a b c (Å): 7.4610 7.4610 7.4610
angles (deg): 108.81 108.81 110.81
Atoms (fractional coordinates):
Ti 0.0000 0.0000 0.0000
Ti 0.7500 0.2500 0.5000
Zn 0.2500 0.7500 0.5000
Zn 0.5000 0.5000 0.0000
I 0.0325 0.6250 0.9075
I 0.3750 0.2825 0.4075
I 0.7175 0.1250 0.0925
I 0.8750 0.9675 0.5925


Compound: Ti2ZnI
Source: Alexandria
Functional: PBE
Structure: relaxed

Results
energy relative to the elements, uncorrected	2.848	eV per formula unit
excess energy over the best structure of this formula in the dataset	411	meV per atom
V	26.4	A^3/atom

a b c (Å): 7.6728 7.6728 7.6728
angles (deg): 136.51 136.51 63.19
Atoms (fractional coordinates):
Ti 0.0681 0.6250 0.9431
Ti 0.3750 0.3181 0.4431
Ti 0.6819 0.1250 0.0569
Ti 0.8750 0.9319 0.5569
Zn 0.0000 0.0000 0.0000
Zn 0.7500 0.2500 0.5000
I 0.2500 0.7500 0.5000
I 0.5000 0.5000 0.0000


Question: Which value of excess energy over the best structure of this formula in the dataset does entry 4 give?
Answer: 178 meV per atom


Question: What is the formula in the first record?
Answer: YTiI3


Question: Which of these has the highest energy relative to the elements, uncorrected?
Answer: number 6